# 1
A relaxed structure of MnTe2Ir. Source: Alexandria via LeMat-Bulk, functional PBE.

The calculation puts the polymorph energy (0 for the lowest one) at 272 meV/atom.

The space group is Pmmm (No. 47) and the conventional cell measures 3.922, 3.944 and 5.577 Å, with angles of 90.00, 90.00 and 90.00 degrees. Symmetry generates all atoms from Mn at (0.000, 0.000, 0.000), Te at (0.000, 0.000, 0.500), Te at (0.500, 0.500, 0.000) and Ir at (0.500, 0.500, 0.500).

***

# 2
A relaxed structure of MnTe4Ir. Source: Alexandria via LeMat-Bulk, functional PBE.

The calculation puts the polymorph energy (0 for the lowest one) at 0 meV/atom.

The space group is P2/m (No. 10) and the conventional cell measures 5.717, 3.989 and 6.822 Å, with angles of 90.00, 90.13 and 90.00 degrees. Symmetry generates all atoms from Mn at (0.000, 0.000, 0.000), Te at (0.248, 0.000, 0.340), Te at (0.249, 0.500, 0.833) and Ir at (0.000, 0.500, 0.500).

***

# 3
A relaxed structure of MnTeIr. Source: Alexandria via LeMat-Bulk, functional PBE.

The calculation puts the polymorph energy (0 for the lowest one) at 440 meV/atom.

The space group is P3m1 (No. 156) and the conventional cell measures 3.2874, 3.2874 and 5.9524 Å, with angles of 90.00, 90.00 and 120.00 degrees. Symmetry generates all atoms from Mn at (0.0000, 0.0000, 0.0000), Te at (0.3333, 0.6667, 0.3621) and Ir at (0.6667, 0.3333, 0.7148).

***

# 4
A relaxed structure of Th2MnIr9. Source: Alexandria via LeMat-Bulk, functional PBE.

The calculation puts the calculated formation energy at -0.31 eV/atom.

The space group is R-3m (No. 166, hexagonal axes) and the conventional cell measures 5.2967, 5.2967 and 26.8413 Å, with angles of 90.00, 90.00 and 120.00 degrees. Symmetry generates all atoms from Th at (0.0000, 0.0000, 0.1352), Mn at (0.0000, 0.0000, 0.0000), Ir at (0.0000, 0.0000, 0.3328), Ir at (0.0000, 0.0000, 0.5000) and Ir at (0.9998, 0.4999, 0.0809).

***

# 5
A relaxed structure of Th2Mn2Ir15. Source: Alexandria via LeMat-Bulk, functional PBE.

The calculation puts the calculated formation energy at -0.27 eV/atom.

The space group is R-3m (No. 166, hexagonal axes) and the conventional cell measures 9.0911, 9.0911 and 13.2929 Å, with angles of 90.00, 90.00 and 120.00 degrees. Symmetry generates all atoms from Th at (0.0000, 0.0000, 0.1556), Mn at (0.0000, 0.0000, 0.3994), Ir at (0.0000, 0.2956, 0.5000), Ir at (0.0000, 0.5000, 0.0000) and Ir at (0.0026, 0.5013, 0.3513).

***

# 6
A relaxed structure of Ti3MnIr2. Source: Alexandria via LeMat-Bulk, functional PBE.

The calculation puts the calculated formation energy at -0.70 eV/atom.

The space group is P4/mmm (No. 123) and the conventional cell measures 3.075, 3.075 and 9.156 Å, with angles of 90.00, 90.00 and 90.00 degrees. Symmetry generates all atoms from Ti at (0.000, 0.000, 0.000), Ti at (0.000, 0.000, 0.346), Mn at (0.500, 0.500, 0.500) and Ir at (0.500, 0.500, 0.169).

***

# 7
A relaxed structure of TiMnIr2. Source: Alexandria via LeMat-Bulk, functional PBE.

The calculation puts the calculated formation energy at -0.56 eV/atom.

The space group is Fm-3m (No. 225) and the conventional cell measures 6.167, 6.167 and 6.167 Å, with angles of 90.00, 90.00 and 90.00 degrees. Symmetry generates all atoms from Ti at (0.000, 0.000, 0.000), Mn at (0.000, 0.000, 0.500) and Ir at (0.250, 0.250, 0.250).

***

# 8
A relaxed structure of Ti3MnIr4. Source: Alexandria via LeMat-Bulk, functional PBE.

The calculation puts the calculated formation energy at -0.69 eV/atom.

The space group is Pmma (No. 51) and the conventional cell measures 8.918, 5.825 and 4.575 Å, with angles of 90.00, 90.00 and 90.00 degrees. Symmetry generates all atoms from Ti at (0.000, 0.000, 0.000), Ti at (0.250, 0.000, 0.430), Ti at (0.250, 0.500, 0.406), Mn at (0.000, 0.500, 0.000), Ir at (0.000, 0.249, 0.500) and Ir at (0.250, 0.253, 0.909).

***

# 9
A relaxed structure of TiMnIr2. Source: Alexandria via LeMat-Bulk, functional PBE.

The calculation puts the calculated formation energy at 0.11 eV/atom.

The space group is I-42d (No. 122) and the conventional cell measures 3.879, 3.879 and 17.000 Å, with angles of 90.00, 90.00 and 90.00 degrees. Symmetry generates all atoms from Ti at (0.000, 0.000, 0.000), Mn at (0.000, 0.000, 0.500) and Ir at (0.235, 0.250, 0.625).

***

# 10
A relaxed structure of TiMn2Ir2. Source: Alexandria via LeMat-Bulk, functional PBE.

The calculation puts the polymorph energy (0 for the lowest one) at 89 meV/atom. The calculation puts the calculated formation energy at -0.15 eV/atom.

The space group is P4/mbm (No. 127) and the conventional cell measures 7.217, 7.217 and 2.673 Å, with angles of 90.00, 90.00 and 90.00 degrees. Symmetry generates all atoms from Ti at (0.000, 0.000, 0.000), Mn at (0.170, 0.330, 0.500) and Ir at (0.129, 0.629, 0.000).

***

# 11
A relaxed structure of TiMnIr6. Source: Alexandria via LeMat-Bulk, functional PBE.

The calculation puts the calculated formation energy at -0.42 eV/atom.

The space group is P4/mmm (No. 123) and the conventional cell measures 5.459, 5.459 and 3.843 Å, with angles of 90.00, 90.00 and 90.00 degrees. Symmetry generates all atoms from Ti at (0.000, 0.000, 0.000), Mn at (0.500, 0.500, 0.000), Ir at (0.000, 0.500, 0.000) and Ir at (0.253, 0.253, 0.500).

***

# 12
A relaxed structure of TiMn3Ir. Source: Alexandria via LeMat-Bulk, functional PBE.

The calculation puts the polymorph energy (0 for the lowest one) at 0 meV/atom. The calculation puts the calculated formation energy at 0.99 eV/atom.

The space group is Pm-3m (No. 221) and the conventional cell measures 4.738, 4.738 and 4.738 Å, with angles of 90.00, 90.00 and 90.00 degrees. Symmetry generates all atoms from Ti at (0.000, 0.000, 0.000), Mn at (0.000, 0.500, 0.500) and Ir at (0.500, 0.500, 0.500).

***

# 13
A relaxed structure of Ti2Mn2Ir. Source: Alexandria via LeMat-Bulk, functional PBE.

The calculation puts the polymorph energy (0 for the lowest one) at 86 meV/atom. The calculation puts the calculated formation energy at -0.22 eV/atom.

The space group is P4/mbm (No. 127) and the conventional cell measures 6.171, 6.171 and 3.767 Å, with angles of 90.00, 90.00 and 90.00 degrees. Symmetry generates all atoms from Ti at (0.183, 0.317, 0.000), Mn at (0.114, 0.614, 0.500) and Ir at (0.000, 0.000, 0.500).

***

# 14
A relaxed structure of TiMn3Ir. Source: Alexandria via LeMat-Bulk, functional PBE.

The calculation puts the polymorph energy (0 for the lowest one) at 416 meV/atom. The calculation puts the calculated formation energy at 1.41 eV/atom.

The space group is Pm-3m (No. 221) and the conventional cell measures 4.144, 4.144 and 4.144 Å, with angles of 90.00, 90.00 and 90.00 degrees. Symmetry generates all atoms from Ti at (0.000, 0.000, 0.000), Mn at (0.000, 0.000, 0.500) and Ir at (0.500, 0.500, 0.500).

***

# 15
A relaxed structure of TiMn4Ir. Source: Alexandria via LeMat-Bulk, functional PBE.

The calculation puts the calculated formation energy at -0.19 eV/atom.

The space group is F-43m (No. 216) and the conventional cell measures 6.641, 6.641 and 6.641 Å, with angles of 90.00, 90.00 and 90.00 degrees. Symmetry generates all atoms from Ti at (0.000, 0.000, 0.000), Mn at (0.126, 0.126, 0.374) and Ir at (0.250, 0.250, 0.750).

***

# 16
A relaxed structure of TiMnIr. Source: Alexandria via LeMat-Bulk, functional PBE.

The calculation puts the calculated formation energy at 0.40 eV/atom.

The space group is I4mm (No. 107) and the conventional cell measures 2.694, 2.694 and 13.267 Å, with angles of 90.00, 90.00 and 90.00 degrees. Symmetry generates all atoms from Ti at (0.000, 0.000, 0.000), Mn at (0.000, 0.000, 0.638) and Ir at (0.000, 0.000, 0.820).

***

# 17
A relaxed structure of Ti2Mn2Ir. Source: Alexandria via LeMat-Bulk, functional PBE.

The calculation puts the polymorph energy (0 for the lowest one) at 0 meV/atom. The calculation puts the calculated formation energy at -0.31 eV/atom.

The space group is Cmmm (No. 65) and the conventional cell measures 3.513, 13.713 and 2.883 Å, with angles of 90.00, 90.00 and 90.00 degrees. Symmetry generates all atoms from Ti at (0.000, 0.111, 0.000), Mn at (0.000, 0.292, 0.500) and Ir at (0.000, 0.500, 0.500).

***

# 18
A relaxed structure of TiMn2Ir2. Source: Alexandria via LeMat-Bulk, functional PBE.

The calculation puts the polymorph energy (0 for the lowest one) at 0 meV/atom. The calculation puts the calculated formation energy at -0.24 eV/atom.

The space group is P4/mbm (No. 127) and the conventional cell measures 7.142, 7.142 and 2.683 Å, with angles of 90.00, 90.00 and 90.00 degrees. Symmetry generates all atoms from Ti at (0.000, 0.000, 0.000), Mn at (0.117, 0.383, 0.000) and Ir at (0.177, 0.677, 0.500).

***

# 19
A relaxed structure of Ti4MnIr5. Source: Alexandria via LeMat-Bulk, functional PBE.

The calculation puts the calculated formation energy at -0.71 eV/atom.

The space group is P4/mmm (No. 123) and the conventional cell measures 3.192, 3.192 and 14.724 Å, with angles of 90.00, 90.00 and 90.00 degrees. Symmetry generates all atoms from Ti at (0.000, 0.000, 0.101), Ti at (0.000, 0.000, 0.306), Mn at (0.000, 0.000, 0.500), Ir at (0.500, 0.500, 0.000), Ir at (0.500, 0.500, 0.201) and Ir at (0.500, 0.500, 0.399).

***

# 20
A relaxed structure of TiMnIr2. Source: Alexandria via LeMat-Bulk, functional PBE.

The calculation puts the calculated formation energy at 0.24 eV/atom.

The space group is Immm (No. 71) and the conventional cell measures 2.750, 4.645 and 9.927 Å, with angles of 90.00, 90.00 and 90.00 degrees. Symmetry generates all atoms from Ti at (0.000, 0.000, 0.000), Mn at (0.000, 0.000, 0.500) and Ir at (0.000, 0.000, 0.238).

***

# 21
A relaxed structure of Ti3MnIr. Source: Alexandria via LeMat-Bulk, functional PBE.

The calculation puts the polymorph energy (0 for the lowest one) at 0 meV/atom. The calculation puts the calculated formation energy at 0.33 eV/atom.

The space group is Pm-3m (No. 221) and the conventional cell measures 4.365, 4.365 and 4.365 Å, with angles of 90.00, 90.00 and 90.00 degrees. Symmetry generates all atoms from Ti at (0.000, 0.000, 0.500), Mn at (0.000, 0.000, 0.000) and Ir at (0.500, 0.500, 0.500).

***

# 22
A relaxed structure of Ti4MnIr3. Source: Alexandria via LeMat-Bulk, functional PBE.

The calculation puts the calculated formation energy at -0.74 eV/atom.

The space group is I4/mmm (No. 139) and the conventional cell measures 4.260, 4.260 and 12.900 Å, with angles of 90.00, 90.00 and 90.00 degrees. Symmetry generates all atoms from Ti at (0.000, 0.500, 0.120), Mn at (0.000, 0.000, 0.000), Ir at (0.000, 0.000, 0.244) and Ir at (0.000, 0.000, 0.500).

***

# 23
A relaxed structure of Ti5MnIr6. Source: Alexandria via LeMat-Bulk, functional PBE.

The calculation puts the calculated formation energy at -0.77 eV/atom.

The space group is P2/m (No. 10) and the conventional cell measures 4.547, 5.871 and 6.802 Å, with angles of 90.00, 99.71 and 90.00 degrees. Symmetry generates all atoms from Ti at (0.000, 0.000, 0.000), Ti at (0.305, 0.500, 0.679), Ti at (0.310, 0.000, 0.670), Mn at (0.000, 0.500, 0.000), Ir at (0.196, 0.252, 0.344) and Ir at (0.500, 0.249, 0.000).

***

# 24
A relaxed structure of TiMnV2Ir. Source: Alexandria via LeMat-Bulk, functional PBE.

The calculation puts the calculated formation energy at 0.58 eV/atom.

The space group is P4/mmm (No. 123) and the conventional cell measures 4.216, 4.216 and 4.550 Å, with angles of 90.00, 90.00 and 90.00 degrees. Symmetry generates all atoms from Ti at (0.000, 0.000, 0.000), Mn at (0.500, 0.500, 0.500), V at (0.000, 0.500, 0.500) and Ir at (0.500, 0.500, 0.000).

***

# 25
A relaxed structure of ZrTi2MnIr. Source: Alexandria via LeMat-Bulk, functional PBE.

The calculation puts the calculated formation energy at 1.69 eV/atom.

The space group is P4/mmm (No. 123) and the conventional cell measures 4.697, 4.697 and 4.765 Å, with angles of 90.00, 90.00 and 90.00 degrees. Symmetry generates all atoms from Zr at (0.000, 0.000, 0.000), Ti at (0.000, 0.500, 0.000), Mn at (0.500, 0.500, 0.500) and Ir at (0.000, 0.000, 0.500).

***

no.,mass density (kg/m3),final energy (eV per atom)
1,9672,-5.9093
2,8085,-5.3186
3,11171,-6.6789
4,17179,-8.9584
5,18101,-9.0095
6,11180,-9.1332
7,13801,-9.2583
8,13518,-9.2234
9,12650,-8.5859
10,12931,-8.9420
11,18213,-9.2017
12,6322,-7.8581
13,9212,-8.8199
14,9447,-7.4424
15,10431,-9.0974
16,10178,-8.2448
17,9514,-8.9059
18,13158,-9.0311
19,13362,-9.2105
20,12760,-8.4583
21,7803,-8.0173
22,11674,-9.1603
23,13432,-9.2535
24,8148,-8.2523
25,6856,-6.7847